Model a:
Compound: CsSiTeBrF
Source: the Alexandria database
Functional: PBE
Structure: relaxed

It has space group P1 (No. 1), with a = 4.9362 Å, b = 6.2190 Å, c = 7.3545 Å, α = 114.62°, β = 109.03° and γ = 90.02°. Symmetry generates all atoms from Cs at (0.0000, 0.0000, 0.0000), Si at (0.6531, 0.5896, 0.3144), Te at (0.2174, 0.7409, 0.4468), Br at (0.4752, 0.5110, 0.9480) and F at (0.6296, 0.2999, 0.2670).

***

Model b:
Compound: CsSiTeBrF
Source: the Alexandria database
Functional: PBE
Structure: relaxed

It has space group Cm (No. 8), with a = 13.0740 Å, b = 4.0969 Å, c = 6.3461 Å, α = 90.00°, β = 97.10° and γ = 90.00°. Symmetry generates all atoms from Cs at (0.0000, 0.0000, 0.0000), Si at (0.3548, 0.0000, 0.4075), Te at (0.2212, 0.5000, 0.4502), Br at (0.2217, 0.5000, 0.9450) and F at (0.4161, 0.0000, 0.6607).

***

Which is the most stable structure? model a is the most stable.

***

Model a:
Compound: CsFeBr2
Source: the Alexandria database
Functional: PBE
Structure: relaxed

It has space group I-42d (No. 122), with a = 8.0766 Å, b = 8.0766 Å, c = 8.1973 Å, α = 90.00°, β = 90.00° and γ = 90.00°. Symmetry generates all atoms from Cs at (0.0000, 0.0000, 0.0000), Fe at (0.0000, 0.0000, 0.5000) and Br at (0.1368, 0.7500, 0.6250).

***

Model b:
Compound: CsFeBr2
Source: the Alexandria database
Functional: PBE
Structure: relaxed

It has space group Fm-3m (No. 225), with a = 7.9647 Å, b = 7.9647 Å, c = 7.9647 Å, α = 90.00°, β = 90.00° and γ = 90.00°. Symmetry generates all atoms from Cs at (0.0000, 0.0000, 0.0000), Fe at (0.0000, 0.0000, 0.5000) and Br at (0.2500, 0.2500, 0.2500).

***

Which is the most stable structure? model a is the most stable.

***

Model a:
Compound: CsFeSe2Br
Source: the Alexandria database
Functional: PBE
Structure: relaxed

It has space group P4/mmm (No. 123), with a = 5.7055 Å, b = 5.7055 Å, c = 6.4912 Å, α = 90.00°, β = 90.00° and γ = 90.00°. Symmetry generates all atoms from Cs at (0.0000, 0.0000, 0.0000), Fe at (0.5000, 0.5000, 0.5000), Se at (0.0000, 0.5000, 0.0000) and Br at (0.0000, 0.0000, 0.5000).

***

Model b:
Compound: CsFeSe2Br
Source: the Alexandria database
Functional: PBE
Structure: relaxed

It has space group P4/mmm (No. 123), with a = 4.8628 Å, b = 4.8628 Å, c = 6.0437 Å, α = 90.00°, β = 90.00° and γ = 90.00°. Symmetry generates all atoms from Cs at (0.0000, 0.0000, 0.0000), Fe at (0.5000, 0.5000, 0.5000), Se at (0.0000, 0.5000, 0.5000) and Br at (0.5000, 0.5000, 0.0000).

***

Model c:
Compound: CsFeSe2Br
Source: the Alexandria database
Functional: PBE
Structure: relaxed

It has space group P4/mmm (No. 123), with a = 4.6021 Å, b = 4.6021 Å, c = 8.4124 Å, α = 90.00°, β = 90.00° and γ = 90.00°. Symmetry generates all atoms from Cs at (0.0000, 0.0000, 0.0000), Fe at (0.0000, 0.0000, 0.5000), Se at (0.0000, 0.5000, 0.5000) and Br at (0.5000, 0.5000, 0.0000).

***

Which is the most stable structure? model b is the most stable.

***

Model a:
Compound: Cs2GaBr
Source: the Alexandria database
Functional: PBE
Structure: relaxed

It has space group I-42d (No. 122), with a = 9.7407 Å, b = 9.7407 Å, c = 10.4744 Å, α = 90.00°, β = 90.00° and γ = 90.00°. Symmetry generates all atoms from Cs at (0.2178, 0.2500, 0.1250), Ga at (0.0000, 0.0000, 0.5000) and Br at (0.0000, 0.0000, 0.0000).

***

Model b:
Compound: Cs2GaBr
Source: the Alexandria database
Functional: PBE
Structure: relaxed

It has space group Fm-3m (No. 225), with a = 9.1046 Å, b = 9.1046 Å, c = 9.1046 Å, α = 90.00°, β = 90.00° and γ = 90.00°. Symmetry generates all atoms from Cs at (0.2500, 0.2500, 0.2500), Ga at (0.0000, 0.0000, 0.0000) and Br at (0.0000, 0.0000, 0.5000).

***

Which is the most stable structure? model a is the most stable.